(1)
YPuFe2 | PBE-GGA | relaxed

## Properties
Space group: P4/mmm, No. 123
Formation enthalpy at 0 K (meV/atom): 108
Raw total energy (eV/cell): -37.291

a b c (Å): 3.302 4.779 4.779
angles (deg): 90.00 90.00 90.00
Site moments in Bohr magnetons follow the coordinates.
Positions (direct):
Fe 0.000 0.500 0.000  -2.05
Y 0.500 0.000 0.000  0.31
Pu 0.500 0.500 0.500  5.28
Fe 0.000 0.000 0.500  -2.05

(2)
UBI | PBE-GGA | relaxed

## Properties
Space group: I4/mmm, No. 139
Raw formation energy (meV/atom): 120.4
Raw total energy (eV/cell): -38.309

a b c (Å): 3.774 3.774 11.338
angles (deg): 99.58 99.58 90.00
Site moments in Bohr magnetons follow the coordinates.
Positions (direct):
U 0.805 0.805 0.610  1.71
I 0.596 0.596 0.192  -0.01
B 0.700 0.700 0.400  -0.06
B 0.300 0.300 0.600  -0.06
U 0.195 0.195 0.390  1.71
I 0.404 0.404 0.808  -0.01

(3)
LaAs2BrN | PBE-GGA | relaxed

## Properties
Excess energy over the best structure of this formula in the dataset (meV/atom): 0.0
Space group: P4/mmm, No. 123
Raw formation energy (meV/atom): -67.1
Raw total energy (eV/cell): -24.560

a b c (Å): 4.247 4.247 5.963
angles (deg): 90.00 90.00 90.00
Positions (direct):
La 0.500 0.500 0.500
Br 0.000 0.000 0.500
As 0.000 0.500 0.000
As 0.500 0.000 0.000
N 0.000 0.000 0.000

(4)
KRb3Hg8 | PBE-GGA | relaxed

## Properties
Space group: P3m1, No. 156
Formation enthalpy at 0 K (meV/atom): -230
Raw total energy (eV/cell): -9.180

a b c (Å): 6.555 6.555 10.887
angles (deg): 90.00 90.00 120.00
Positions (direct):
Hg 0.333 0.667 0.500
Hg 0.162 0.838 0.252
Hg 0.504 0.007 0.747
Rb 0.667 0.333 0.439
Hg 0.333 0.667 0.003
Hg 0.677 0.838 0.252
Hg 0.162 0.323 0.252
Hg 0.993 0.496 0.747
Rb 0.000 0.000 0.934
Hg 0.504 0.496 0.747
K 0.000 0.000 0.561
Rb 0.667 0.333 0.062

(5)
SrTbNi2P2 | PBE-GGA | relaxed

## Properties
Space group: P-3m1, No. 164
Formation enthalpy at 0 K (meV/atom): -1051
Raw total energy (eV/cell): -34.999

a b c (Å): 3.932 3.932 8.319
angles (deg): 90.00 90.00 120.00
Positions (direct):
Ni 0.333 0.667 0.729
Tb 0.000 0.000 0.500
Sr 0.000 0.000 0.000
Ni 0.667 0.333 0.271
P 0.667 0.333 0.730
P 0.333 0.667 0.270

(6)
Ac2NOF | PBE-GGA | relaxed

## Properties
Space group: P3m1, No. 156
Raw formation energy (meV/atom): -2711.5
Raw total energy (eV/cell): -36.929

a b c (Å): 4.236 4.236 6.323
angles (deg): 90.00 90.00 120.00
Positions (direct):
F 0.000 0.000 0.029
N 0.333 0.667 0.645
O 0.667 0.333 0.330
Ac 0.333 0.667 0.262
Ac 0.667 0.333 0.733